Entry from Alexandria: a relaxed RbHf3P crystal (GGA-PBEsol).

Cell: 4.912 4.912 4.912 Å, 90.00 90.00 90.00°
Sites, in units of the cell vectors:
Rb1 0.000 0.000 0.000
Hf1 0.000 0.000 0.500
Hf2 0.000 0.500 0.000
Hf3 0.500 0.000 0.000
P1 0.500 0.500 0.500

Computed properties:
Its energy above the lowest structure with this stoichiometry is 1989 meV/atom. As for the space-group type: Pm-3m. Its density of states at the Fermi level is 7.6 states/eV/f.u.